Record 1
The following is a GGA-PBE calculation of a geometry-optimized ReTeOs2 structure, from Alexandria via LeMat-Bulk.

```
ReTeOs2
1.0
9.060 0.004 0.002
8.587 2.889 0.002
8.587 1.408 2.523
Te Os Re
1 2 1
direct
0.750 0.750 0.750 Te
0.995 0.995 0.995 Os
0.505 0.505 0.505 Os
0.250 0.250 0.250 Re
```

Record 2
The following is a GGA-PBE calculation of a geometry-optimized ReTeOs2 structure, from Alexandria via LeMat-Bulk.

```
ReTeOs2
1.0
5.385 0.004 0.000
2.572 4.732 0.000
-3.424 -3.300 2.528
Os Te Re
2 1 1
direct
0.017 0.017 0.000 Os
0.483 0.483 0.000 Os
0.250 0.750 0.500 Te
0.750 0.250 0.500 Re
```

Record 3
The following is a GGA-PBE calculation of a geometry-optimized Re2TeOs structure, from Alexandria via LeMat-Bulk.

```
Re2TeOs
1.0
2.992 0.000 0.000
0.000 2.992 0.000
0.000 0.000 7.321
Os Re Te
1 2 1
direct
0.500 0.500 0.764 Os
0.000 0.000 0.003 Re
0.500 0.500 0.234 Re
0.000 0.000 0.499 Te
```

Record 4
The following is a GGA-PBE calculation of a geometry-optimized Re2TeOs structure, from Alexandria via LeMat-Bulk.

```
Re2TeOs
1.0
-1.985 2.278 -4.462
-5.256 -0.543 -1.056
3.765 1.801 3.408
Te Os Re
1 1 2
direct
0.500 0.500 0.000 Te
0.271 0.771 0.500 Os
0.734 0.234 0.500 Re
0.995 0.995 0.000 Re
```

Record 5
The following is a GGA-PBE calculation of a geometry-optimized ReTeOs2 structure, from Alexandria via LeMat-Bulk.

```
ReTeOs2
1.0
8.946 0.002 0.001
8.464 2.895 0.001
8.464 1.409 2.530
Te Os Re
1 2 1
direct
0.748 0.748 0.748 Te
0.250 0.250 0.250 Os
0.997 0.997 0.997 Os
0.505 0.505 0.505 Re
```

Record 6
The following is a GGA-PBE calculation of a geometry-optimized ReTeOs2 structure, from Alexandria via LeMat-Bulk.

```
ReTeOs2
1.0
-3.567 -0.631 4.543
4.084 -3.056 2.782
2.288 2.923 5.919
Os Te Re
4 2 2
direct
0.375 0.349 0.750 Os
0.651 0.125 0.250 Os
0.875 0.901 0.750 Os
0.099 0.625 0.250 Os
0.500 0.500 0.000 Te
0.250 0.750 0.500 Te
0.750 0.250 0.500 Re
0.000 0.000 0.000 Re
```

Record 7
The following is a GGA-PBE calculation of a geometry-optimized Re2TeOs structure, from Alexandria via LeMat-Bulk.

```
Re2TeOs
1.0
-1.863 -1.772 -3.857
3.949 -2.266 -0.868
-1.013 -2.370 1.578
Te Re Os
1 2 1
direct
0.500 0.000 0.500 Te
0.500 0.500 0.000 Re
0.000 0.000 0.000 Re
0.000 0.500 0.500 Os
```

Record 8
ReTeOs, relaxed, DFT GGA-PBE; energy relative to the lowest polymorph listed for this composition = 23.3 meV/atom
1.0
-2.295 1.963 -0.177
1.181 -1.178 -2.524
-8.421 -9.786 0.628
Os Te Re
2 2 2
direct
0.111 0.222 0.157 Os
0.111 0.222 0.843 Os
0.778 0.555 0.665 Te
0.778 0.555 0.335 Te
0.445 0.889 0.000 Re
0.444 0.889 0.500 Re

no.,formation energy (no corrections) (eV per atom),total magnetization (μB/cell)
1,0.672,0.000
2,0.838,0.000
3,0.588,0.000
4,0.773,0.000
5,0.740,0.000
6,1.040,0.000
7,0.804,0.000
8,0.686,0.000